Density functional theory data (PBE+U) for a geometry-optimized UTiNiO6 structure.

Values from the calculation:
* spin magnetization: 2.0 μB per formula unit
* calculated total energy: -8.25 eV per atom

```
data_UTiNiO6
_chemical_formula_sum 'U2 Ti2 Ni2 O12'
_cell_length_a 5.3500
_cell_length_b 5.3500
_cell_length_c 8.7979
_cell_angle_alpha 90.00
_cell_angle_beta 90.00
_cell_angle_gamma 120.00
_symmetry_space_group_name_H-M 'P -3 1 c'
_symmetry_Int_Tables_number 163
_symmetry_space_group_name_Hall '-P 3 2c'
loop_
_atom_site_label
_atom_site_type_symbol
_atom_site_fract_x
_atom_site_fract_y
_atom_site_fract_z
_atom_site_occupancy
U1 U 0.3333 0.6667 0.2500 1
Ti1 Ti 0.3333 0.6667 0.7500 1
Ni1 Ni 0.0000 0.0000 0.0000 1
O1 O 0.0153 0.3531 0.6327 1
```